[1]
Compound: CaPr2Cd2
Source: the Alexandria database
Functional: PBE
Structure: optimized geometry

Properties
As for the energy of formation from the pure elements: -0.204 eV/atom. The value obtained for the relative energy among the computed polymorphs is 51 meV/atom.

Lattice parameters (Å, degrees): 5.102 7.273 11.447 129.54 102.88 90.00
Fractional coordinates of all 10 atoms:
Cd 0.801 0.353 0.603
Cd 0.801 0.853 0.603
Cd 0.199 0.147 0.397
Cd 0.199 0.647 0.397
Pr 0.368 0.236 0.735
Pr 0.632 0.764 0.265
Ca 0.000 0.250 0.000
Pr 0.368 0.736 0.735
Ca 0.000 0.750 0.000
Pr 0.632 0.264 0.265



[2]
Compound: Ac2Zn4GaCu3
Source: the Alexandria database
Functional: PBE
Structure: optimized geometry

Properties
As for the energy of formation from the pure elements: -0.262 eV/atom.

Lattice parameters (Å, degrees): 4.357 4.357 10.584 90.00 90.00 90.00
Fractional coordinates of all 10 atoms:
Cu 0.500 0.000 0.872
Zn 0.000 0.500 0.370
Cu 0.000 0.000 0.500
Cu 0.000 0.500 0.128
Ac 0.500 0.000 0.250
Zn 0.500 0.000 0.630
Ac 0.000 0.500 0.750
Zn 0.000 0.000 0.000
Zn 0.500 0.500 0.000
Ga 0.500 0.500 0.500